# VCu2O4, relaxed, DFT PBE with a Hubbard U
# E_tot ... -85.74 eV for the cell shown
# Total magnetization ... 1.0 μB/f.u.
# Distance to the lowest polymorph of the same formula ... 0.000 eV/atom
data_VCu2O4
_cell_length_a 10.7981
_cell_length_b 2.9699
_cell_length_c 5.1765
_cell_angle_alpha 90.00
_cell_angle_beta 111.67
_cell_angle_gamma 90.00
_space_group_name_H-M_alt 'C 1 2/m 1'
_space_group_IT_number 12
loop_
_space_group_symop_operation_xyz
'x,y,z'
'-x,-y,-z'
'-x,y,-z'
'x,-y,z'
'x+1/2,y+1/2,z'
'-x+1/2,-y+1/2,-z'
'-x+1/2,y+1/2,-z'
'x+1/2,-y+1/2,z'
loop_
_atom_site_label
_atom_site_fract_x
_atom_site_fract_y
_atom_site_fract_z
V1 0.0000 0.0000 0.0000
Cu1 0.1758 0.5000 0.6385
O1 0.0888 0.5000 0.8940
O2 0.1349 0.0000 0.3615